First-principles (PBE) data for a geometry-optimized Ac2SiBr2 structure, as listed in Alexandria.

Unit cell a=4.608 b=4.609 c=10.750 alpha=90.47 beta=90.00 gamma=119.99
Fractional coordinates of all 5 atoms:
Ac 0.831 0.662 0.338
Ac 0.169 0.338 0.662
Si 0.500 0.000 0.500
Br 0.162 0.325 0.169
Br 0.838 0.675 0.831

Output
Total magnetization ... 0.00 μB/cell
Energy ... -23.9 eV for the cell shown
Offset from the most stable computed form ... 0 meV per atom
DOS at the Fermi energy ... 0.13 states/eV/cell